Record 1
Here is crystalline Tb2PuTl at its relaxed geometry from the Alexandria database. Energies are from PBE-GGA.

Results
- total magnetic moment (μB per cell) = 6.69
- polymorph energy (0 for the lowest one) (meV per atom) = 111.0
- energy of formation from the pure elements (eV/atom) = 0.04

```
4
Lattice="-1.549 5.014 1.386 -4.321 0.717 3.206 0.663 1.733 5.101" Properties=species:S:1:pos:R:3 pbc="T T T"
Tl -2.603 3.732 4.847
Tb -1.302 1.866 2.423
Tb -3.905 5.599 7.270
Pu 0.000 0.000 0.000
```

---

Record 2
Here is crystalline Tb2PuTl at its relaxed geometry from the Alexandria database. Energies are from PBE-GGA.

Results
- total magnetic moment (μB per cell) = 6.07
- polymorph energy (0 for the lowest one) (meV per atom) = 54.6
- energy of formation from the pure elements (eV/atom) = -0.02

```
4
Lattice="3.531 0.000 0.000 1.765 3.058 0.000 1.765 1.019 10.875" Properties=species:S:1:pos:R:3 pbc="T T T"
Tl 0.000 0.000 0.000
Tb 1.765 1.019 2.644
Tb 5.296 3.058 8.231
Pu 3.531 2.038 5.438
```

---

Record 3
Here is crystalline Tb2PuTl at its relaxed geometry from the Alexandria database. Energies are from PBE-GGA.

Results
- total magnetic moment (μB per cell) = 5.92
- polymorph energy (0 for the lowest one) (meV per atom) = 0.0
- energy of formation from the pure elements (eV/atom) = -0.07

```
4
Lattice="3.543 0.000 0.000 0.000 3.543 0.000 0.000 0.000 9.062" Properties=species:S:1:pos:R:3 pbc="T T T"
Tl 1.772 1.772 0.000
Tb 0.000 0.000 6.898
Tb 0.000 0.000 2.164
Pu 1.772 1.772 4.531
```

---

Record 4
Here is crystalline Tb2PuTl at its relaxed geometry from the Alexandria database. Energies are from PBE-GGA.

Results
- total magnetic moment (μB per cell) = 6.46
- polymorph energy (0 for the lowest one) (meV per atom) = 49.4
- energy of formation from the pure elements (eV/atom) = -0.02

```
4
Lattice="-3.222 1.488 0.312 -2.925 -1.943 -0.599 -2.328 -2.937 10.301" Properties=species:S:1:pos:R:3 pbc="T T T"
Tb -2.260 -2.263 7.785
Tb -2.116 -0.824 2.415
Pu -4.238 -1.699 5.020
Tl -6.426 -3.238 10.102
```